First-principles (PBE) data for an optimized crystal structure of Sr2CoBr, as listed in the Alexandria database.

Properties
- Raw formation energy: 1.3 eV/f.u.
- Excess energy over the best structure of this formula in the dataset: 754.2 meV/atom
- Energy: -2.72 eV/atom
- Space group: No. 216

Unit cell a=5.439 b=5.439 c=5.439 alpha=60.00 beta=60.00 gamma=60.00
Positions (direct):
Sr1 0.000 0.000 0.000
Sr2 0.250 0.250 0.250
Co1 0.500 0.500 0.500
Br1 0.750 0.750 0.750